1.
{
  "formula": "AcDyRh",
  "functional": "PBE",
  "state": "optimized geometry",
  "m_tot_mub_per_atom": 0.0000,
  "de_polymorph_kj_per_mol_atoms": 12.7,
  "delta_e_f_ev_per_atom": -0.434,
  "space_group": "I4mm",
  "dos_ef_per_ev_atom": 1.0706,
  "final_energy_ev_per_atom": -5.788,
  "lattice": [[3.622, 0.000, 0.000], [0.000, 3.622, 0.000], [-1.811, -1.811, 6.550]],
  "species": ["Ac", "Rh", "Dy"],
  "fractional_positions": [[0.031, 0.031, 0.061], [0.681, 0.681, 0.361], [0.289, 0.289, 0.578]]
}

---

2.
{
  "formula": "Ac3DyRh",
  "functional": "PBE",
  "state": "optimized geometry",
  "m_tot_mub_per_atom": 0.0027,
  "delta_e_f_ev_per_atom": -0.153,
  "space_group": "Pm-3m",
  "dos_ef_per_ev_atom": 1.7682,
  "final_energy_ev_per_atom": -5.009,
  "lattice": [[5.824, 0.000, 0.000], [0.000, 5.824, 0.000], [0.000, 0.000, 5.824]],
  "species": ["Ac", "Ac", "Ac", "Rh", "Dy"],
  "fractional_positions": [[0.000, 0.500, 0.000], [0.000, 0.000, 0.500], [0.500, 0.000, 0.000], [0.000, 0.000, 0.000], [0.500, 0.500, 0.500]]
}

---

3.
{
  "formula": "AcDyRh2",
  "functional": "PBE",
  "state": "optimized geometry",
  "m_tot_mub_per_atom": 0.0000,
  "de_polymorph_kj_per_mol_atoms": 2.2,
  "delta_e_f_ev_per_atom": -0.635,
  "space_group": "Fm-3m",
  "dos_ef_per_ev_atom": 1.0303,
  "final_energy_ev_per_atom": -6.488,
  "lattice": [[5.056, 0.000, 0.000], [2.528, 4.378, 0.000], [2.528, 1.459, 4.128]],
  "species": ["Ac", "Rh", "Rh", "Dy"],
  "fractional_positions": [[0.500, 0.500, 0.500], [0.250, 0.250, 0.250], [0.750, 0.750, 0.750], [0.000, 0.000, 0.000]]
}

---

4.
{
  "formula": "Ac2DySb3Rh6",
  "functional": "PBE",
  "state": "optimized geometry",
  "m_tot_mub_per_atom": 0.0000,
  "formation_energy_uncorrected_ev_per_atom": -0.520,
  "space_group": "P4/mmm",
  "dos_ef_per_ev_atom": 0.6635,
  "final_energy_ev_per_atom": -6.295,
  "lattice": [[-1.843, -0.284, -3.750], [-3.062, -2.312, 1.679], [-8.900, 14.181, 3.301]],
  "species": ["Ac", "Ac", "Dy", "Sb", "Sb", "Sb", "Rh", "Rh", "Rh", "Rh", "Rh", "Rh"],
  "fractional_positions": [[0.500, 0.500, 0.161], [0.500, 0.500, 0.839], [0.500, 0.500, 0.500], [0.000, 0.000, 0.300], [0.000, 0.000, 0.700], [0.000, 0.000, 0.000], [0.000, 0.500, 0.614], [0.500, 0.000, 0.386], [0.500, 0.000, 0.614], [0.000, 0.000, 0.149], [0.000, 0.500, 0.386], [0.000, 0.000, 0.851]]
}

---

5.
{
  "formula": "Ac2DySb3Rh4",
  "functional": "PBE",
  "state": "optimized geometry",
  "m_tot_mub_per_atom": 0.0002,
  "formation_energy_uncorrected_ev_per_atom": -0.889,
  "space_group": "P-4m2",
  "dos_ef_per_ev_atom": 0.8360,
  "final_energy_ev_per_atom": -6.348,
  "lattice": [[-4.150, -0.201, 1.907], [1.279, -3.679, 2.395], [3.494, 6.619, 8.302]],
  "species": ["Ac", "Ac", "Dy", "Sb", "Sb", "Sb", "Rh", "Rh", "Rh", "Rh"],
  "fractional_positions": [[0.500, 0.000, 0.234], [0.000, 0.500, 0.766], [0.500, 0.500, 0.500], [0.000, 0.000, 0.500], [0.500, 0.000, 0.876], [0.000, 0.500, 0.124], [0.500, 0.500, 0.000], [0.000, 0.000, 0.000], [0.500, 0.000, 0.642], [0.000, 0.500, 0.358]]
}

---

6.
{
  "formula": "AcDySiRh",
  "functional": "PBE",
  "state": "optimized geometry",
  "m_tot_mub_per_atom": 0.0000,
  "formation_energy_uncorrected_ev_per_atom": -0.458,
  "space_group": "F-43m",
  "dos_ef_per_ev_atom": 0.7942,
  "final_energy_ev_per_atom": -5.829,
  "lattice": [[-2.119, -4.453, -1.499], [1.133, -4.364, 2.499], [-3.561, -2.281, 2.948]],
  "species": ["Ac", "Rh", "Si", "Dy"],
  "fractional_positions": [[0.250, 0.250, 0.250], [0.000, 0.000, 0.000], [0.500, 0.500, 0.500], [0.750, 0.750, 0.750]]
}

---

7.
{
  "formula": "Ac2DySi3Rh12",
  "functional": "PBE",
  "state": "optimized geometry",
  "m_tot_mub_per_atom": 0.0000,
  "formation_energy_uncorrected_ev_per_atom": -0.309,
  "space_group": "R-3m",
  "dos_ef_per_ev_atom": 0.9807,
  "final_energy_ev_per_atom": -6.826,
  "lattice": [[6.579, -1.499, -1.064], [1.945, 6.461, -1.064], [1.945, 1.132, 6.450]],
  "species": ["Ac", "Ac", "Dy", "Si", "Si", "Si", "Rh", "Rh", "Rh", "Rh", "Rh", "Rh", "Rh", "Rh", "Rh", "Rh", "Rh", "Rh"],
  "fractional_positions": [[0.635, 0.635, 0.635], [0.365, 0.365, 0.365], [0.000, 0.000, 0.000], [0.500, 0.000, 0.000], [0.000, 0.500, 0.000], [0.000, 0.000, 0.500], [0.370, 0.370, 0.916], [0.820, 0.820, 0.323], [0.323, 0.820, 0.820], [0.916, 0.370, 0.370], [0.820, 0.323, 0.820], [0.370, 0.916, 0.370], [0.630, 0.630, 0.084], [0.180, 0.180, 0.677], [0.677, 0.180, 0.180], [0.084, 0.630, 0.630], [0.180, 0.677, 0.180], [0.630, 0.084, 0.630]]
}

---

8.
{
  "formula": "Ac2DyTe3Rh4",
  "functional": "PBE",
  "state": "optimized geometry",
  "m_tot_mub_per_atom": 0.0565,
  "formation_energy_uncorrected_ev_per_atom": -0.869,
  "space_group": "P-4m2",
  "dos_ef_per_ev_atom": 0.7773,
  "final_energy_ev_per_atom": -6.034,
  "lattice": [[-1.938, -1.096, 3.970], [-3.130, -2.461, -2.207], [6.667, -9.135, 0.732]],
  "species": ["Ac", "Ac", "Dy", "Te", "Te", "Te", "Rh", "Rh", "Rh", "Rh"],
  "fractional_positions": [[0.500, 0.000, 0.223], [0.000, 0.500, 0.777], [0.500, 0.500, 0.500], [0.000, 0.000, 0.500], [0.500, 0.000, 0.870], [0.000, 0.500, 0.130], [0.500, 0.500, 0.000], [0.000, 0.000, 0.000], [0.500, 0.000, 0.639], [0.000, 0.500, 0.361]]
}